# 1
PBE Ba2NaAs4Au3, optimized geometry; ΔE_f = -0.6013 eV per atom; spin magnetization = 0.00 μB/atom; D(E_F) = 4.8 states/eV per cell
1.0
4.729 0.000 0.000
0.000 4.729 0.000
0.000 0.000 10.942
Ba Na As Au
2 1 4 3
Direct
0.500 0.000 0.245 Ba
0.000 0.500 0.755 Ba
0.500 0.500 0.500 Na
0.500 0.500 0.000 As
0.000 0.000 0.000 As
0.500 0.000 0.642 As
0.000 0.500 0.358 As
0.000 0.000 0.500 Au
0.500 0.000 0.882 Au
0.000 0.500 0.118 Au

***

# 2
PBE BaNa2As2Au, optimized geometry; ΔE_f = -0.4395 eV per atom; spin magnetization = 0.00 μB/atom; D(E_F) = 2.3 states/eV per cell
1.0
-1.725 4.002 -3.649
-4.424 1.166 3.371
6.219 1.307 2.919
Ba Na As Au
1 2 2 1
Direct
0.500 0.500 0.000 Ba
0.250 0.750 0.500 Na
0.750 0.250 0.500 Na
0.790 0.790 0.579 As
0.210 0.210 0.421 As
0.000 0.000 0.000 Au

***

# 3
PBE BaNaAs2Au2, optimized geometry; ΔE_f = -0.6244 eV per atom; spin magnetization = 0.00 μB/atom; D(E_F) = 3.8 states/eV per cell
1.0
-1.409 -2.730 -3.230
4.257 1.320 0.104
2.067 -7.063 5.068
Ba Na As Au
1 1 2 2
Direct
0.000 0.000 0.000 Ba
0.000 0.000 0.500 Na
0.667 0.333 0.740 As
0.333 0.667 0.260 As
0.667 0.333 0.278 Au
0.333 0.667 0.722 Au

***

# 4
PBE Ba5As2AuO, optimized geometry; spin magnetization = 0.00 μB/atom; uncorrected formation energy = -1.26 eV per atom; D(E_F) = 8.4 states/eV per cell
1.0
4.779 0.000 0.000
-2.389 9.738 0.000
0.000 0.000 13.507
Ba As Au O
10 4 2 2
Direct
0.337 0.675 0.014 Ba
0.647 0.293 0.873 Ba
0.472 0.944 0.744 Ba
0.277 0.554 0.708 Ba
0.002 0.004 0.483 Ba
0.663 0.325 0.514 Ba
0.353 0.707 0.373 Ba
0.528 0.056 0.244 Ba
0.723 0.446 0.208 Ba
0.998 0.996 0.983 Ba
0.851 0.702 0.839 As
0.104 0.208 0.691 As
0.149 0.298 0.339 As
0.896 0.792 0.191 As
0.835 0.669 0.557 Au
0.165 0.331 0.057 Au
0.519 0.037 0.916 O
0.481 0.963 0.416 O

***

# 5
PBE Ba3AsP2Au6, optimized geometry; ΔE_f = -0.5153 eV per atom; spin magnetization = 0.00 μB/atom; D(E_F) = 3.8 states/eV per cell
1.0
6.324 0.000 0.000
-3.162 5.477 0.000
0.000 0.000 10.417
Ba As P Au
3 1 2 6
Direct
0.333 0.667 0.592 Ba
0.667 0.333 0.408 Ba
0.000 0.000 0.000 Ba
0.000 0.000 0.500 As
0.667 0.333 0.842 P
0.333 0.667 0.158 P
0.693 0.846 0.283 Au
0.154 0.307 0.283 Au
0.154 0.846 0.283 Au
0.846 0.693 0.717 Au
0.307 0.154 0.717 Au
0.846 0.154 0.717 Au

***

# 6
PBE Ba4As2P2Au, optimized geometry; ΔE_f = -0.7502 eV per atom; spin magnetization = 0.00 μB/atom; D(E_F) = 4.9 states/eV per cell
1.0
4.590 0.051 0.035
1.243 9.110 0.896
1.243 4.178 8.145
Ba As P Au
4 2 2 1
Direct
0.252 0.620 0.101 Ba
0.748 0.899 0.380 Ba
0.748 0.380 0.899 Ba
0.252 0.101 0.620 Ba
0.187 0.212 0.212 As
0.813 0.788 0.788 As
0.205 0.676 0.676 P
0.795 0.324 0.324 P
0.500 0.000 0.000 Au

***

# 7
PBE Ba6As2PAu, optimized geometry; ΔE_f = -0.8768 eV per atom; spin magnetization = 0.00 μB/atom; D(E_F) = 8.6 states/eV per cell
1.0
-4.363 3.217 6.070
-0.509 -7.740 3.736
9.394 2.672 6.817
Ba As P Au
12 4 2 2
Direct
0.314 0.680 0.067 Ba
0.814 0.820 0.567 Ba
0.686 0.320 0.933 Ba
0.186 0.180 0.433 Ba
0.326 0.695 0.407 Ba
0.826 0.805 0.907 Ba
0.674 0.305 0.593 Ba
0.174 0.195 0.093 Ba
0.828 0.581 0.240 Ba
0.328 0.919 0.740 Ba
0.172 0.419 0.760 Ba
0.672 0.081 0.260 Ba
0.046 0.904 0.275 As
0.546 0.596 0.775 As
0.954 0.096 0.725 As
0.454 0.404 0.225 As
0.500 0.000 0.500 P
0.000 0.500 0.000 P
0.500 0.000 0.000 Au
0.000 0.500 0.500 Au

***

# 8
PBE BaPaAs3Au, optimized geometry; ΔE_f = -0.8054 eV per atom; spin magnetization = 0.00 μB/atom; D(E_F) = 14.9 states/eV per cell
1.0
-3.436 1.773 1.800
-2.478 -4.900 -4.956
0.012 -7.650 7.559
Ba Pa As Au
2 2 6 2
Direct
0.749 0.498 0.750 Ba
0.251 0.502 0.250 Ba
0.000 0.000 0.500 Pa
0.000 0.000 0.000 Pa
0.633 0.267 0.455 As
0.367 0.733 0.545 As
0.367 0.733 0.955 As
0.633 0.267 0.045 As
0.069 0.138 0.750 As
0.931 0.862 0.250 As
0.461 0.923 0.750 Au
0.539 0.077 0.250 Au

***

# 9
PBE BaAsPb2Au2, optimized geometry; ΔE_f = -0.3171 eV per atom; spin magnetization = 0.00 μB/atom; D(E_F) = 4.4 states/eV per cell
1.0
4.834 0.000 0.000
0.000 4.834 0.000
-2.417 -2.417 8.366
Ba As Pb Au
1 1 2 2
Direct
0.500 0.500 0.000 Ba
0.000 0.000 0.000 As
0.250 0.750 0.500 Pb
0.750 0.250 0.500 Pb
0.852 0.852 0.703 Au
0.148 0.148 0.297 Au

***

# 10
PBE BaAsPbAu, optimized geometry; ΔE_f = -0.4508 eV per atom; spin magnetization = 0.00 μB/atom; D(E_F) = 0.7 states/eV per cell
1.0
-3.111 1.001 -4.387
-4.008 -3.466 -1.359
-5.228 1.480 0.634
Pb As Au Ba
1 1 1 1
Direct
0.250 0.250 0.250 Pb
0.000 0.000 0.000 As
0.500 0.500 0.500 Au
0.750 0.750 0.750 Ba

***

# 11
PBE Ba2As4PdAu3, optimized geometry; ΔE_f = -0.5963 eV per atom; spin magnetization = 0.00 μB/atom; D(E_F) = 4.7 states/eV per cell
1.0
4.705 0.000 0.000
0.000 4.705 0.000
0.000 0.000 10.549
Ba As Pd Au
2 4 1 3
Direct
0.500 0.000 0.251 Ba
0.000 0.500 0.749 Ba
0.500 0.500 0.000 As
0.000 0.000 0.000 As
0.500 0.000 0.623 As
0.000 0.500 0.377 As
0.500 0.500 0.500 Pd
0.000 0.000 0.500 Au
0.500 0.000 0.874 Au
0.000 0.500 0.126 Au

***

# 12
PBE Ba2As3Pd4Au, optimized geometry; ΔE_f = -0.6789 eV per atom; spin magnetization = 0.00 μB/atom; D(E_F) = 4.8 states/eV per cell
1.0
-0.263 -3.274 3.222
4.348 0.863 1.232
-3.337 7.016 6.860
Ba As Pd Au
2 3 4 1
Direct
0.500 0.000 0.253 Ba
0.000 0.500 0.747 Ba
0.000 0.000 0.500 As
0.500 0.000 0.881 As
0.000 0.500 0.119 As
0.500 0.500 0.000 Pd
0.000 0.000 0.000 Pd
0.500 0.000 0.636 Pd
0.000 0.500 0.364 Pd
0.500 0.500 0.500 Au

***

# 13
PBE Ba2AsPd6Au, optimized geometry; ΔE_f = -0.5393 eV per atom; spin magnetization = 0.00 μB/atom; D(E_F) = 3.9 states/eV per cell
1.0
5.676 0.000 0.004
0.001 8.668 -0.284
2.835 4.072 4.546
Ba As Pd Au
2 1 6 1
Direct
0.731 0.190 0.537 Ba
0.269 0.810 0.463 Ba
0.500 0.500 0.000 As
0.251 0.394 0.499 Pd
0.739 0.708 0.037 Pd
0.224 0.708 0.037 Pd
0.776 0.292 0.963 Pd
0.261 0.292 0.963 Pd
0.749 0.606 0.501 Pd
0.000 0.000 0.000 Au

***

# 14
PBE BaAsPd2Au, optimized geometry; ΔE_f = -0.4951 eV per atom; spin magnetization = 0.00 μB/atom; D(E_F) = 2.7 states/eV per cell
1.0
-4.613 -0.104 1.670
-1.077 -3.563 -3.197
1.315 -3.463 3.416
As Au Ba Pd
1 1 1 2
Direct
0.000 0.000 0.000 As
0.000 0.000 0.500 Au
0.500 0.500 0.500 Ba
0.000 0.500 0.000 Pd
0.500 0.000 0.000 Pd

***

# 15
PBE BaPmAsAu, optimized geometry; ΔE_f = -0.7629 eV per atom; spin magnetization = 0.08 μB/atom; D(E_F) = 3.8 states/eV per cell
1.0
5.435 0.000 0.000
2.718 4.707 0.000
2.718 1.569 4.438
As Au Ba Pm
1 1 1 1
Direct
0.250 0.250 0.250 As
0.750 0.750 0.750 Au
0.000 0.000 0.000 Ba
0.500 0.500 0.500 Pm

***

# 16
PBE Ba2AsPtAu6, optimized geometry; ΔE_f = -0.4424 eV per atom; spin magnetization = 0.00 μB/atom; D(E_F) = 2.5 states/eV per cell
1.0
7.246 -0.072 0.193
-0.072 7.256 0.195
3.725 3.731 5.271
Ba As Pt Au
2 1 1 6
Direct
0.786 0.215 0.499 Ba
0.214 0.785 0.501 Ba
0.000 0.000 0.000 As
0.500 0.500 0.000 Pt
0.289 0.289 0.503 Au
0.711 0.712 0.080 Au
0.247 0.754 0.000 Au
0.753 0.246 0.000 Au
0.289 0.288 0.920 Au
0.711 0.711 0.497 Au

***

# 17
PBE Ba2As3Pt12Au, optimized geometry; ΔE_f = -0.0537 eV per atom; spin magnetization = 0.00 μB/atom; D(E_F) = 7.0 states/eV per cell
1.0
-3.286 3.939 6.263
-1.731 -4.398 6.573
4.716 1.121 6.484
Ba As Pt Au
2 3 12 1
Direct
0.616 0.616 0.616 Ba
0.384 0.384 0.384 Ba
0.500 0.000 0.000 As
0.000 0.500 0.000 As
0.000 0.000 0.500 As
0.349 0.349 0.897 Pt
0.878 0.878 0.376 Pt
0.376 0.878 0.878 Pt
0.897 0.349 0.349 Pt
0.878 0.376 0.878 Pt
0.349 0.897 0.349 Pt
0.651 0.651 0.103 Pt
0.122 0.122 0.624 Pt
0.624 0.122 0.122 Pt
0.103 0.651 0.651 Pt
0.122 0.624 0.122 Pt
0.651 0.103 0.651 Pt
0.000 0.000 0.000 Au

***

# 18
PBE Ba6AsRhAu2, optimized geometry; ΔE_f = -0.5519 eV per atom; spin magnetization = 0.00 μB/atom; D(E_F) = 18.9 states/eV per cell
1.0
8.001 0.000 0.131
0.000 8.725 0.000
0.261 0.000 11.785
Ba As Rh Au
12 2 2 4
Direct
0.314 0.677 0.065 Ba
0.814 0.823 0.565 Ba
0.686 0.323 0.935 Ba
0.186 0.177 0.435 Ba
0.331 0.689 0.424 Ba
0.831 0.811 0.924 Ba
0.669 0.311 0.576 Ba
0.169 0.189 0.076 Ba
0.854 0.556 0.246 Ba
0.354 0.944 0.746 Ba
0.146 0.444 0.754 Ba
0.646 0.056 0.254 Ba
0.500 0.000 0.000 As
0.000 0.500 0.500 As
0.500 0.000 0.500 Rh
0.000 0.500 0.000 Rh
0.047 0.898 0.260 Au
0.547 0.602 0.760 Au
0.953 0.102 0.740 Au
0.453 0.398 0.240 Au

***

# 19
PBE BaAsAu2S4, optimized geometry; spin magnetization = 0.00 μB/atom; uncorrected formation energy = -0.54 eV per atom; D(E_F) = 4.8 states/eV per cell
1.0
6.396 0.000 0.000
3.198 5.731 -0.442
3.198 0.195 5.744
Ba As Au S
1 1 2 4
Direct
0.000 0.000 0.000 Ba
0.000 0.500 0.500 As
0.500 0.682 0.318 Au
0.500 0.318 0.682 Au
0.625 0.498 0.847 S
0.375 0.153 0.502 S
0.969 0.502 0.153 S
0.031 0.847 0.498 S

***

# 20
PBE Ba2AsAuS, optimized geometry; spin magnetization = 0.00 μB/atom; uncorrected formation energy = -0.55 eV per atom; D(E_F) = 2.5 states/eV per cell
1.0
6.209 0.000 0.000
0.000 4.910 0.000
0.000 0.000 6.209
S As Au Ba
1 1 1 2
Direct
0.000 0.500 0.000 S
0.000 0.000 0.000 As
0.500 0.500 0.500 Au
0.000 0.000 0.500 Ba
0.500 0.000 0.000 Ba

***

# 21
PBE Ba4Sb2As2Au, optimized geometry; spin magnetization = 0.00 μB/atom; uncorrected formation energy = -0.86 eV per atom; D(E_F) = 3.5 states/eV per cell
1.0
-4.496 -4.938 -0.752
2.607 -2.387 -5.997
4.056 -5.018 2.613
Ba Sb As Au
4 2 2 1
Direct
0.229 0.601 0.120 Ba
0.771 0.880 0.399 Ba
0.771 0.399 0.880 Ba
0.229 0.120 0.601 Ba
0.334 0.606 0.606 Sb
0.666 0.394 0.394 Sb
0.149 0.112 0.112 As
0.851 0.888 0.888 As
0.500 0.000 0.000 Au

***

# 22
PBE BaScAs2Au, optimized geometry; ΔE_f = -0.9419 eV per atom; spin magnetization = 0.00 μB/atom
1.0
-2.358 -4.703 -0.206
6.150 -2.940 -3.259
1.189 -0.912 7.195
Ba Sc As Au
2 2 4 2
Direct
0.193 0.500 0.750 Ba
0.807 0.500 0.250 Ba
0.478 0.000 0.250 Sc
0.522 0.000 0.750 Sc
0.675 0.754 0.950 As
0.675 0.246 0.550 As
0.325 0.754 0.450 As
0.325 0.246 0.050 As
0.000 0.000 0.000 Au
0.000 0.000 0.500 Au